1.
HoSnHgPt: relaxed, PBE-GGA.

It has space group F-43m (No. 216), with a = 7.033 Å, b = 7.033 Å, c = 7.033 Å, α = 90.00°, β = 90.00° and γ = 90.00°. The distinct sites, in fractional coordinates, are Ho at (0.000, 0.000, 0.000), Sn at (0.000, 0.000, 0.500), Hg at (0.250, 0.250, 0.750) and Pt at (0.250, 0.250, 0.250).

The value obtained for the formation energy is -0.61 eV/atom.

2.
SrHoHgPt: relaxed, PBE-GGA.

It has space group F-43m (No. 216), with a = 7.372 Å, b = 7.372 Å, c = 7.372 Å, α = 90.00°, β = 90.00° and γ = 90.00°. The distinct sites, in fractional coordinates, are Sr at (0.000, 0.000, 0.000), Ho at (0.000, 0.000, 0.500), Hg at (0.250, 0.250, 0.750) and Pt at (0.250, 0.250, 0.250).

The value obtained for the formation energy is -0.64 eV/atom.

3.
TbHoHgPt: relaxed, PBE-GGA.

It has space group F-43m (No. 216), with a = 7.202 Å, b = 7.202 Å, c = 7.202 Å, α = 90.00°, β = 90.00° and γ = 90.00°. The distinct sites, in fractional coordinates, are Tb at (0.000, 0.000, 0.000), Ho at (0.000, 0.000, 0.500), Hg at (0.250, 0.250, 0.250) and Pt at (0.250, 0.250, 0.750).

The value obtained for the formation energy is -0.82 eV/atom. Its energy above the most stable polymorph in this dataset is 0.0477 eV per atom.

4.
TbHoHgPt: relaxed, PBE-GGA.

It has space group P4mm (No. 99), with a = 3.575 Å, b = 3.575 Å, c = 7.361 Å, α = 90.00°, β = 90.00° and γ = 90.00°. The distinct sites, in fractional coordinates, are Tb at (0.000, 0.000, 0.000), Ho at (0.000, 0.000, 0.549), Hg at (0.500, 0.500, 0.278) and Pt at (0.500, 0.500, 0.769).

The value obtained for the formation energy is -0.87 eV/atom. Its energy above the most stable polymorph in this dataset is 0.0000 eV per atom.

5.
HoTlHgPt: relaxed, PBE-GGA.

It has space group F-43m (No. 216), with a = 7.099 Å, b = 7.099 Å, c = 7.099 Å, α = 90.00°, β = 90.00° and γ = 90.00°. The distinct sites, in fractional coordinates, are Ho at (0.000, 0.000, 0.000), Tl at (0.000, 0.000, 0.500), Hg at (0.250, 0.250, 0.750) and Pt at (0.250, 0.250, 0.250).

The value obtained for the formation energy is -0.47 eV/atom.

6.
HoZrHgPt: relaxed, PBE-GGA.

It has space group F-43m (No. 216), with a = 7.017 Å, b = 7.017 Å, c = 7.017 Å, α = 90.00°, β = 90.00° and γ = 90.00°. The distinct sites, in fractional coordinates, are Ho at (0.000, 0.000, 0.000), Zr at (0.000, 0.000, 0.500), Hg at (0.250, 0.250, 0.250) and Pt at (0.250, 0.250, 0.750).

The value obtained for the formation energy is -0.59 eV/atom.

7.
Ho5PuHg6: relaxed, PBE-GGA.

It has space group Immm (No. 71), with a = 5.221 Å, b = 7.511 Å, c = 15.657 Å, α = 90.00°, β = 90.00° and γ = 90.00°. The distinct sites, in fractional coordinates, are Ho at (0.000, 0.000, 0.000), Ho at (0.000, 0.000, 0.342), Ho at (0.000, 0.500, 0.329), Pu at (0.000, 0.500, 0.000), Hg at (0.000, 0.240, 0.170) and Hg at (0.000, 0.268, 0.500).

The value obtained for the formation energy is -0.41 eV/atom.

8.
Ho2PuHg9: relaxed, PBE-GGA.

It has space group Pmmm (No. 47), with a = 4.552 Å, b = 4.746 Å, c = 13.763 Å, α = 90.00°, β = 90.00° and γ = 90.00°. The distinct sites, in fractional coordinates, are Ho at (0.000, 0.000, 0.163), Pu at (0.000, 0.000, 0.500), Hg at (0.000, 0.500, 0.000), Hg at (0.000, 0.500, 0.329), Hg at (0.500, 0.000, 0.000), Hg at (0.500, 0.000, 0.327), Hg at (0.500, 0.500, 0.161) and Hg at (0.500, 0.500, 0.500).

The value obtained for the formation energy is -0.23 eV/atom.

9.
HoPuHg: relaxed, PBE-GGA.

It has space group P3m1 (No. 156), with a = 5.2390 Å, b = 5.2390 Å, c = 3.3587 Å, α = 90.00°, β = 90.00° and γ = 120.00°. The distinct sites, in fractional coordinates, are Ho at (0.0000, 0.0000, 0.0000), Pu at (0.3333, 0.6667, 0.5782) and Hg at (0.6667, 0.3333, 0.2668).

The value obtained for the formation energy is -0.02 eV/atom. Its energy above the most stable polymorph in this dataset is 0.0948 eV per atom.

10.
Ho4PuHg5: relaxed, PBE-GGA.

It has space group P4/mmm (No. 123), with a = 3.700 Å, b = 3.700 Å, c = 18.729 Å, α = 90.00°, β = 90.00° and γ = 90.00°. The distinct sites, in fractional coordinates, are Ho at (0.000, 0.000, 0.099), Ho at (0.000, 0.000, 0.297), Pu at (0.000, 0.000, 0.500), Hg at (0.500, 0.500, 0.000), Hg at (0.500, 0.500, 0.198) and Hg at (0.500, 0.500, 0.391).

The value obtained for the formation energy is -0.40 eV/atom.

11.
HoPuHg: relaxed, PBE-GGA.

It has space group P2_1/c (No. 14), with a = 12.470 Å, b = 3.465 Å, c = 6.742 Å, α = 90.00°, β = 105.06° and γ = 90.00°. The distinct sites, in fractional coordinates, are Ho at (0.244, 0.224, 0.002), Pu at (0.039, 0.611, 0.672) and Hg at (0.416, 0.746, 0.834).

The value obtained for the formation energy is -0.10 eV/atom. Its energy above the most stable polymorph in this dataset is 0.0157 eV per atom.

12.
HoPuHg2: relaxed, PBE-GGA.

It has space group P4/mmm (No. 123), with a = 3.665 Å, b = 3.665 Å, c = 7.737 Å, α = 90.00°, β = 90.00° and γ = 90.00°. The distinct sites, in fractional coordinates, are Ho at (0.000, 0.000, 0.000), Pu at (0.000, 0.000, 0.500) and Hg at (0.500, 0.500, 0.235).

The value obtained for the formation energy is -0.28 eV/atom.